(1)
First-principles (PBE) data for an optimized crystal structure of Fe3SiW, as listed in Alexandria via LeMat-Bulk.

Unit cell a=4.6816 b=5.7325 c=5.7325 alpha=109.36 beta=90.00 gamma=90.00
Last column: magnetic moment on the atom in μB.
Atoms (fractional coordinates):
Si1 0.7500 0.7915 0.2085  -0.07
Si2 0.2500 0.2085 0.7915  -0.07
W1 0.7500 0.5359 0.4641  -0.02
W2 0.2500 0.4641 0.5359  -0.02
Fe1 0.0000 0.0000 0.0000  2.58
Fe2 0.2500 0.5606 0.1049  2.24
Fe3 0.2500 0.8951 0.4394  2.24
Fe4 0.7500 0.1049 0.5606  2.24
Fe5 0.7500 0.4394 0.8951  2.24
Fe6 0.5000 0.0000 0.0000  2.58

Summary:
Final energy: -8.22 eV/atom
SG: Cmcm (63)
Formation energy without anion corrections: 535 meV per atom
N(E_F): 4.2 states/eV/f.u.


(2)
First-principles (PBE) data for an optimized crystal structure of NaAcHgSb, as listed in Alexandria via LeMat-Bulk.

Unit cell a=5.5755 b=5.5755 c=5.5755 alpha=60.00 beta=60.00 gamma=60.00
Atoms (fractional coordinates):
Ac1 0.5000 0.5000 0.5000
Sb1 0.2500 0.2500 0.2500
Na1 0.0000 0.0000 0.0000
Hg1 0.7500 0.7500 0.7500

Summary:
Final energy: -3.04 eV/atom
SG: F-43m (216)
Formation energy without anion corrections: -574 meV per atom
N(E_F): 2.7 states/eV/f.u.


(3)
First-principles (PBE) data for an optimized crystal structure of Tl3OsBr2F6, as listed in Alexandria via LeMat-Bulk.

Unit cell a=5.0133 b=7.9416 c=9.0549 alpha=116.01 beta=91.61 gamma=90.00
Last column: magnetic moment on the atom in μB.
Atoms (fractional coordinates):
Os1 0.5000 0.0000 0.0000  2.15
Br1 0.0008 0.6962 0.3923  0.01
Br2 0.9992 0.3038 0.6077  0.01
F1 0.6583 0.8939 0.7877  0.11
F2 0.2651 0.1349 0.9205  0.12
F3 0.7349 0.2143 0.0795  0.12
F4 0.2651 0.7857 0.9205  0.12
F5 0.7349 0.8651 0.0795  0.12
F6 0.3417 0.1061 0.2123  0.11
Tl1 0.5000 0.5000 0.5000  0.01
Tl2 0.0000 0.5000 0.0000  0.00
Tl3 0.5000 0.0000 0.5000  0.01

Summary:
Final energy: -4.26 eV/atom
SG: C2/m (12)
Formation energy without anion corrections: -1516 meV per atom


(4)
First-principles (PBE) data for an optimized crystal structure of K2TaBBr, as listed in Alexandria via LeMat-Bulk.

Unit cell a=6.2069 b=6.2069 c=4.9999 alpha=90.00 beta=90.00 gamma=90.00
Last column: magnetic moment on the atom in μB.
Atoms (fractional coordinates):
Br1 0.0000 0.0000 0.0000  0.01
K1 0.5000 0.0000 0.0000  0.01
K2 0.0000 0.5000 0.0000  0.01
Ta1 0.0000 0.0000 0.5000  2.07
B1 0.5000 0.5000 0.5000  -0.17

Summary:
Final energy: -2.97 eV/atom
SG: P4/mmm (123)
Formation energy without anion corrections: 1514 meV per atom
N(E_F): 3.0 states/eV/f.u.


(5)
First-principles (PBE) data for an optimized crystal structure of Dy2SiNi, as listed in Alexandria via LeMat-Bulk.

Unit cell a=4.8859 b=4.8859 c=4.8859 alpha=60.00 beta=60.00 gamma=60.00
Atoms (fractional coordinates):
Dy1 0.7500 0.7500 0.7500
Dy2 0.2500 0.2500 0.2500
Si1 0.5000 0.5000 0.5000
Ni1 0.0000 0.0000 0.0000

Summary:
Final energy: -5.58 eV/atom
SG: Fm-3m (225)
Formation energy without anion corrections: -475 meV per atom
N(E_F): 1.6 states/eV/f.u.


(6)
First-principles (PBE) data for an optimized crystal structure of TbTm2Al9, as listed in Alexandria via LeMat-Bulk.

Unit cell a=4.2397 b=4.2397 c=12.7162 alpha=90.00 beta=90.00 gamma=90.00
Atoms (fractional coordinates):
Tb1 0.0000 0.0000 0.0000
Al1 0.5000 0.5000 0.6662
Al2 0.5000 0.5000 0.3338
Al3 0.0000 0.5000 0.8310
Al4 0.5000 0.0000 0.8310
Al5 0.5000 0.0000 0.5000
Al6 0.0000 0.5000 0.1690
Al7 0.5000 0.0000 0.1690
Al8 0.0000 0.5000 0.5000
Al9 0.5000 0.5000 0.0000
Tm1 0.0000 0.0000 0.3345
Tm2 0.0000 0.0000 0.6655

Summary:
Final energy: -4.35 eV/atom
SG: P4/mmm (123)
N(E_F): 5.2 states/eV/f.u.
DFT formation energy: -413 meV/atom


(7)
First-principles (PBE) data for an optimized crystal structure of PrHoSc2S4, as listed in Alexandria via LeMat-Bulk.

Unit cell a=3.7966 b=6.7398 c=6.6535 alpha=71.16 beta=90.00 gamma=90.00
Atoms (fractional coordinates):
S1 0.0000 0.2227 0.2681
S2 0.5000 0.2295 0.7481
S3 0.5000 0.7705 0.2519
S4 0.0000 0.7773 0.7319
Sc1 0.0000 0.0000 0.0000
Sc2 0.5000 0.0000 0.5000
Pr1 0.5000 0.5000 0.0000
Ho1 0.0000 0.5000 0.5000

Summary:
Final energy: -6.72 eV/atom
SG: P2/m (10)
Formation energy without anion corrections: -1906 meV per atom
N(E_F): 4.6 states/eV/f.u.


(8)
First-principles (PBE) data for an optimized crystal structure of SbBr2Cl, as listed in Alexandria via LeMat-Bulk.

Unit cell a=7.5861 b=7.5861 c=7.5861 alpha=35.74 beta=35.74 gamma=35.74
Atoms (fractional coordinates):
Br1 0.0393 0.0393 0.0393
Br2 0.2107 0.2107 0.2107
Sb1 0.7917 0.7917 0.7917
Cl1 0.4583 0.4583 0.4583

Summary:
Final energy: -2.62 eV/atom
SG: R3m (160)
Formation energy without anion corrections: -296 meV per atom
N(E_F): 0.0 states/eV/f.u.


(9)
First-principles (PBE) data for an optimized crystal structure of Pm2ZrScAs4, as listed in Alexandria via LeMat-Bulk.

Unit cell a=4.0473 b=7.0007 c=7.0240 alpha=109.36 beta=90.00 gamma=90.00
Atoms (fractional coordinates):
Pm1 0.5000 0.0000 0.5000
Pm2 0.0000 0.5000 0.5000
As1 0.0000 0.7426 0.2272
As2 0.0000 0.2574 0.7728
As3 0.5000 0.7570 0.7720
As4 0.5000 0.2430 0.2280
Zr1 0.0000 0.0000 0.0000
Sc1 0.5000 0.5000 0.0000

Summary:
Final energy: -6.76 eV/atom
SG: P2/m (10)
N(E_F): 1.4 states/eV/f.u.
DFT formation energy: -1385 meV/atom


(10)
First-principles (PBE) data for an optimized crystal structure of ScAu5, as listed in Alexandria via LeMat-Bulk.

Unit cell a=3.5494 b=3.5494 c=8.8461 alpha=90.00 beta=90.00 gamma=90.00
Atoms (fractional coordinates):
Au1 0.5000 0.5000 0.5009
Au2 0.0000 0.0000 0.9987
Au3 0.0000 0.0000 0.6679
Au4 0.5000 0.5000 0.1658
Au5 0.0000 0.0000 0.3333
Sc1 0.5000 0.5000 0.8333

Summary:
Final energy: -4.16 eV/atom
SG: P4/mmm (123)
N(E_F): 2.9 states/eV/f.u.
DFT formation energy: -377 meV/atom


(11)
First-principles (PBE) data for an optimized crystal structure of Fe2Pd6Pt, as listed in Alexandria via LeMat-Bulk.

Unit cell a=4.6236 b=4.3408 c=8.0612 alpha=97.46 beta=90.00 gamma=122.18
Last column: magnetic moment on the atom in μB.
Atoms (fractional coordinates):
Pd1 0.3396 0.6791 0.7381  0.24
Pd2 0.6681 0.3361 0.6161  0.20
Pd3 0.6604 0.3209 0.2619  0.24
Pd4 0.9903 0.9806 0.1603  0.30
Pd5 0.3319 0.6639 0.3839  0.20
Pd6 0.0097 0.0194 0.8397  0.30
Fe1 0.6722 0.3444 0.9401  3.18
Fe2 0.3278 0.6556 0.0599  3.18
Pt1 0.0000 0.0000 0.5000  0.18

Summary:
Final energy: -6.00 eV/atom
SG: C2/m (12)
N(E_F): 9.4 states/eV/f.u.
DFT formation energy: 9 meV/atom


(12)
First-principles (PBE) data for an optimized crystal structure of SrPrMgTl, as listed in Alexandria via LeMat-Bulk.

Unit cell a=5.6726 b=5.6726 c=5.6726 alpha=60.00 beta=60.00 gamma=60.00
Atoms (fractional coordinates):
Tl1 0.0000 0.0000 0.0000
Mg1 0.5000 0.5000 0.5000
Sr1 0.2500 0.2500 0.2500
Pr1 0.7500 0.7500 0.7500

Summary:
Final energy: -2.84 eV/atom
SG: F-43m (216)
N(E_F): 2.6 states/eV/f.u.
DFT formation energy: -232 meV/atom


final energy of number 8 (SbBr2Cl)?
-2.62 eV/atom


Which formula does entry 2 have?
NaAcHgSb